A plane-wave DFT calculation with PBE was carried out for an optimized crystal structure of AlMo2Br.

a = 3.168 Å, b = 3.168 Å, c = 7.822 Å
α = 90.00°, β = 90.00°, γ = 90.00°
Space group P4mm (No. 99)
Inequivalent atoms, fractional coordinates:
Al 0.000 0.000 0.000 [1 per cell]
Mo 0.000 0.000 0.630 [1 per cell]
Mo 0.500 0.500 0.818 [1 per cell]
Br 0.500 0.500 0.392 [1 per cell]

Properties
For the raw total energy, the calculation gives -26.41 eV for the cell shown.



A plane-wave DFT calculation with PBE was carried out for an optimized crystal structure of Al2MoBr.

a = 2.950 Å, b = 4.402 Å, c = 12.870 Å
α = 90.00°, β = 90.00°, γ = 90.00°
Space group Imm2 (No. 44)
Inequivalent atoms, fractional coordinates:
Al 0.000 0.000 0.000 [2 per cell]
Al 0.000 0.500 0.141 [2 per cell]
Mo 0.000 0.000 0.466 [2 per cell]
Br 0.000 0.500 0.799 [2 per cell]

Properties
For the raw total energy, the calculation gives -38.29 eV for the cell shown.



A plane-wave DFT calculation with PBE was carried out for an optimized crystal structure of AlMo2Br.

a = 9.262 Å, b = 2.919 Å, c = 5.080 Å
α = 90.00°, β = 103.31°, γ = 90.00°
Space group C2/m (No. 12)
Inequivalent atoms, fractional coordinates:
Al 0.000 0.000 0.000 [2 per cell]
Mo 0.243 0.500 0.239 [4 per cell]
Br 0.000 0.500 0.500 [2 per cell]

Properties
For the raw total energy, the calculation gives -49.76 eV for the cell shown.



A plane-wave DFT calculation with PBE was carried out for an optimized crystal structure of Al2MoBr.

a = 6.551 Å, b = 6.551 Å, c = 6.551 Å
α = 90.00°, β = 90.00°, γ = 90.00°
Space group Fm-3m (No. 225)
Inequivalent atoms, fractional coordinates:
Al 0.250 0.250 0.250 [8 per cell]
Mo 0.000 0.000 0.000 [4 per cell]
Br 0.000 0.000 0.500 [4 per cell]

Properties
For the raw total energy, the calculation gives -67.24 eV for the cell shown.